Computed, not measured: a relaxed TlTe8As4 crystal at the PBE level of DFT.

Its formation energy without anion corrections is 32 meV/atom. Its total energy is -3.514 eV per atom. The calculation puts the total magnetic moment at 0.000 Bohr magnetons per cell. Its space group is C2/m (12).

Cell lengths 7.831, 7.831, 9.872 Å; angles 113.43, 113.43, 60.08 degrees
Atoms (fractional coordinates):
Tl  0.000  0.000  0.000
Te  0.234  0.234  0.702
Te  0.237  0.733  0.702
Te  0.267  0.267  0.298
Te  0.267  0.763  0.298
Te  0.733  0.237  0.702
Te  0.733  0.733  0.702
Te  0.763  0.267  0.298
Te  0.766  0.766  0.298
As  0.000  0.000  0.500
As  0.000  0.500  0.500
As  0.500  0.000  0.500
As  0.500  0.500  0.500

Computed, not measured: a relaxed HgSe2N crystal at the PBE level of DFT.

Its formation energy without anion corrections is 1493 meV/atom. Its offset from the most stable computed form is 822 meV/atom. Its total energy is -2.406 eV per atom. The calculation puts the total magnetic moment at 1.548 Bohr magnetons per cell. Its space group is Fm-3m (225).

Cell lengths 4.760, 4.760, 4.760 Å; angles 60.00, 60.00, 60.00 degrees
Atoms (fractional coordinates):
Hg  0.000  0.000  0.000
Se  0.250  0.250  0.250
Se  0.750  0.750  0.750
N  0.500  0.500  0.500

Computed, not measured: a relaxed BaTb4Si4 crystal at the PBE level of DFT.

Its formation energy without anion corrections is -528 meV/atom. Its total energy is -5.210 eV per atom. The calculation puts the total magnetic moment at 0.000 Bohr magnetons per cell. Its space group is P4_2/n (86).

Cell lengths 9.588, 9.588, 5.696 Å; angles 90.00, 90.00, 90.00 degrees
Atoms (fractional coordinates):
Ba  0.250  0.250  0.250
Ba  0.750  0.750  0.750
Tb  0.118  0.629  0.129
Tb  0.129  0.882  0.629
Tb  0.371  0.618  0.629
Tb  0.382  0.871  0.129
Tb  0.618  0.129  0.871
Tb  0.629  0.382  0.371
Tb  0.871  0.118  0.371
Tb  0.882  0.371  0.871
Si  0.067  0.929  0.138
Si  0.071  0.567  0.638
Si  0.429  0.933  0.638
Si  0.433  0.571  0.138
Si  0.567  0.429  0.862
Si  0.571  0.067  0.362
Si  0.929  0.433  0.362
Si  0.933  0.071  0.862

Computed, not measured: a relaxed ThGaRhN crystal at the PBE level of DFT.

Its formation energy without anion corrections is -1104 meV/atom. Its total energy is -7.635 eV per atom. The calculation puts the total magnetic moment at 0.000 Bohr magnetons per cell. Its space group is P4/nmm (129).

Cell lengths 4.282, 4.282, 7.905 Å; angles 90.00, 90.00, 90.00 degrees
Atoms (fractional coordinates):
Th  0.250  0.250  0.137
Th  0.750  0.750  0.863
Ga  0.250  0.250  0.647
Ga  0.750  0.750  0.353
Rh  0.250  0.750  0.500
Rh  0.750  0.250  0.500
N  0.250  0.750  0.000
N  0.750  0.250  0.000